The following is a DFT calculation (PBEsol) of crystalline InP2S2 at its relaxed geometry.

Values from the calculation:
Formation energy without anion corrections = 57 kJ per mole of atoms
Total magnetization = 0.00 μB/cell

a = 4.510 Å, b = 4.510 Å, c = 4.596 Å
α = 90.00°, β = 90.00°, γ = 90.00°
Element x y z (fractional)
In: 0.000 0.000 0.000
P: 0.000 0.500 0.500
P: 0.500 0.000 0.500
S: 0.500 0.500 0.000
S: 0.500 0.500 0.500

---

The following is a DFT calculation (PBEsol) of crystalline V2Hg2O7 at its relaxed geometry.

Values from the calculation:
Formation energy without anion corrections = -154 kJ per mole of atoms
Total magnetization = 0.00 μB/cell

a = 7.159 Å, b = 3.605 Å, c = 21.604 Å
α = 90.00°, β = 90.00°, γ = 90.00°
Element x y z (fractional)
V: 0.017 0.250 0.119
V: 0.200 0.750 0.020
V: 0.300 0.250 0.520
V: 0.483 0.750 0.619
V: 0.517 0.250 0.381
V: 0.700 0.750 0.480
V: 0.800 0.250 0.980
V: 0.983 0.750 0.881
Hg: 0.028 0.250 0.372
Hg: 0.232 0.250 0.747
Hg: 0.268 0.750 0.247
Hg: 0.472 0.750 0.872
Hg: 0.528 0.250 0.128
Hg: 0.732 0.250 0.753
Hg: 0.768 0.750 0.253
Hg: 0.972 0.750 0.628
O: 0.023 0.750 0.095
O: 0.023 0.750 0.300
O: 0.098 0.250 0.556
O: 0.122 0.250 0.029
O: 0.148 0.750 0.826
O: 0.217 0.250 0.161
O: 0.243 0.750 0.943
O: 0.257 0.250 0.443
O: 0.283 0.750 0.661
O: 0.352 0.250 0.326
O: 0.378 0.750 0.529
O: 0.402 0.750 0.056
O: 0.477 0.250 0.595
O: 0.477 0.250 0.800
O: 0.523 0.750 0.200
O: 0.523 0.750 0.405
O: 0.598 0.250 0.944
O: 0.622 0.250 0.471
O: 0.648 0.750 0.674
O: 0.717 0.250 0.339
O: 0.743 0.750 0.557
O: 0.757 0.250 0.057
O: 0.783 0.750 0.839
O: 0.852 0.250 0.174
O: 0.878 0.750 0.971
O: 0.902 0.750 0.444
O: 0.977 0.250 0.700
O: 0.977 0.250 0.905